No. 1
LaAuO: relaxed, GGA-PBE.

Structure (extended XYZ):
```
6
Lattice="2.0481 1.1825 8.9333 -2.0481 1.1825 8.9333 0.0000 -2.3650 8.9333" Properties=species:S:1:pos:R:3 pbc="T T T"
La 0.0000 0.0000 2.9503
La 0.0000 0.0000 23.8496
Au 0.0000 0.0000 9.7189
Au 0.0000 0.0000 17.0810
O 0.0000 0.0000 5.3566
O 0.0000 0.0000 21.4432
```

Calculated values
* calculated density: 9.00 g/cm3
* final energy: -6.56 eV per atom
* relative energy among the computed polymorphs: 75 meV/atom
* M_tot: 0.00 μB per formula unit
* E_form (uncorrected): -2.17 eV/atom
* SG: R-3m (166)
* V: 21.6 Å³/atom

---

No. 2
CsTl2BiBr6: relaxed, GGA-PBE.

Structure (extended XYZ):
```
10
Lattice="4.1784 2.4124 7.3333 -4.1784 2.4124 7.3333 0.0000 -4.8248 7.3333" Properties=species:S:1:pos:R:3 pbc="T T T"
Cs 0.0000 0.0000 0.0000
Tl 0.0000 0.0000 6.2727
Tl 0.0000 0.0000 17.6345
Bi 0.0000 0.0000 10.6382
Br -2.2442 -0.2030 8.7936
Br -1.3108 -2.0617 12.2076
Br 1.2979 -1.8420 8.7936
Br -1.1300 2.1661 12.2076
Br 0.9463 2.0450 8.7936
Br 2.4409 -0.1044 12.2076
```

Calculated values
* calculated density: 4.61 g/cm3
* final energy: -2.97 eV per atom
* M_tot: 0.00 μB per formula unit
* E_form (uncorrected): -1.02 eV/atom
* SG: R3 (146)
* V: 44.4 Å³/atom